Crystalline TbDy2Er at its relaxed geometry. Source: Alexandria via LeMat-Bulk, functional PBE.

POSCAR file:
```
TbDy2Er
1.0
-1.4677 -3.5192 3.2257
3.8642 1.1030 2.9616
-2.7992 3.3661 2.3987
Dy Tb Er
2 1 1
Cartesian
-1.3996 1.6830 1.1994
1.9321 0.5515 1.4808
-0.7338 -1.7596 1.6128
-0.2013 0.4749 4.2930
```

mass density = 8688 kg/m³
space group = P4/mmm, No. 123
calculated formation energy = 0.021 eV per atom
total energy = -4.58 eV per atom
ΔE to the lowest computed polymorph = 5 kJ/mol of formula units